(1)
The following is a DFT calculation (PBE) of a relaxed structure of KIn2Pb6.

Results
The value obtained for the total moment is 0.000 μB/atom.

Lattice parameters (Å, degrees): 5.0455 5.0455 11.8070 90.00 90.00 90.00
Sites, in units of the cell vectors:
K: 0.0000 0.0000 0.0000
In: 0.5000 0.5000 0.1246
In: 0.5000 0.5000 0.8754
Pb: 0.0000 0.0000 0.5000
Pb: 0.0000 0.5000 0.2912
Pb: 0.0000 0.5000 0.7088
Pb: 0.5000 0.0000 0.2912
Pb: 0.5000 0.0000 0.7088
Pb: 0.5000 0.5000 0.5000

=====

(2)
The following is a DFT calculation (PBE) of a relaxed structure of KIn3Pb.

Results
The value obtained for the total moment is 0.000 μB/atom. For the distance to the lowest polymorph of the same formula, the calculation gives 0 meV per atom.

Lattice parameters (Å, degrees): 4.9791 4.9791 13.5084 90.00 90.00 90.00
Sites, in units of the cell vectors:
K: 0.0000 0.0000 0.2500
K: 0.0000 0.0000 0.7500
In: 0.0000 0.5000 0.0000
In: 0.5000 0.0000 0.5000
In: 0.5000 0.5000 0.1405
In: 0.5000 0.5000 0.3595
In: 0.5000 0.5000 0.6405
In: 0.5000 0.5000 0.8595
Pb: 0.0000 0.5000 0.5000
Pb: 0.5000 0.0000 0.0000

=====

(3)
The following is a DFT calculation (PBE) of a relaxed structure of K2InPb.

Results
The value obtained for the total moment is 0.086 μB/atom. For the distance to the lowest polymorph of the same formula, the calculation gives 203 meV per atom.

Lattice parameters (Å, degrees): 12.3900 12.3900 12.3900 17.23 17.23 17.23
Sites, in units of the cell vectors:
K: 0.2493 0.2493 0.2493
K: 0.7507 0.7507 0.7507
In: 0.5000 0.5000 0.5000
Pb: 0.0000 0.0000 0.0000

=====

| no. | ΔH_f (0 K) (eV per atom) | total energy (Ry per atom) |
| --- | --- | --- |
| 1 | -0.03 | -0.2376 |
| 2 | -0.07 | -0.1964 |
| 3 | 0.06 | -0.1540 |